[1]
ThPaAs | Alexandria via LeMat-Bulk | PBE-GGA | optimized geometry; calculated total energy = -7.605 eV/atom
1.0
-2.257 2.635 1.194
0.837 -0.854 3.469
5.120 2.941 -2.451
As Th Pa
1 1 1
Cartesian
0.242 1.717 2.305
2.308 2.005 -0.063
3.527 4.572 2.216

[2]
ThPa5As6 | Alexandria via LeMat-Bulk | PBE-GGA | optimized geometry; calculated total energy = -8.010 eV/atom
1.0
7.013 -0.109 -1.322
-3.789 5.902 -1.322
0.138 0.247 7.133
Pa Th As
5 1 6
Cartesian
1.681 3.020 2.244
5.317 0.997 2.244
3.421 1.890 -1.322
-0.197 3.903 -1.322
-1.955 5.044 2.244
0.000 0.000 0.000
4.338 3.480 3.344
0.930 1.671 4.663
2.432 4.370 -0.175
2.691 0.520 1.144
-0.976 2.561 1.144
0.671 5.520 3.344